1.
Entry from the Alexandria database: a relaxed structure of Pm6HgTe3Pb2 (GGA-PBE).

a b c (Å): 10.2026 10.2026 9.0586
angles (deg): 107.03 107.03 25.36
Closest atoms and distances in Å follow each position.
Element x y z (fractional)
Pm (0.0030, 0.0030, 0.2495)  3 Te 3.16-3.17, 1 Pb 3.16, 2 Hg 3.20
Pm (0.3315, 0.3315, 0.9250)  3 Pb 3.17-3.21, 3 Te 3.21-3.22
Pm (0.3340, 0.3340, 0.4212)  3 Te 3.14-3.20, 2 Pb 3.16, 1 Hg 3.16
Pm (0.6660, 0.6660, 0.5788)  3 Te 3.14-3.20, 2 Pb 3.16, 1 Hg 3.16
Pm (0.6685, 0.6685, 0.0750)  3 Pb 3.17-3.21, 3 Te 3.21-3.22
Pm (0.9970, 0.9970, 0.7505)  3 Te 3.16-3.17, 1 Pb 3.16, 2 Hg 3.20
Hg (0.5000, 0.5000, 0.5000)  6 Pm 3.16-3.20
Te (0.1689, 0.1689, 0.3288)  6 Pm 3.14-3.21
Te (0.5000, 0.5000, 0.0000)  6 Pm 3.17-3.22
Te (0.8311, 0.8311, 0.6712)  6 Pm 3.14-3.21
Pb (0.1626, 0.1626, 0.8230)  6 Pm 3.16-3.21
Pb (0.8374, 0.8374, 0.1770)  6 Pm 3.16-3.21

Output
E_tot: -57.3 eV/cell
volume: 385 Å³ per cell
formation energy from raw total energies: -0.9751 eV/atom
total magnetization: 0.0 μB per formula unit



2.
Entry from the Alexandria database: a relaxed structure of PmThHgPb (GGA-PBE).

a b c (Å): 5.4832 5.4832 5.4832
angles (deg): 60.00 60.00 60.00
Closest atoms and distances in Å follow each position.
Element x y z (fractional)
Pm (0.0000, 0.0000, 0.0000)  4 Hg 3.36, 4 Pb 3.36
Th (0.5000, 0.5000, 0.5000)  4 Hg 3.36, 4 Pb 3.36
Hg (0.7500, 0.7500, 0.7500)  4 Th 3.36, 4 Pm 3.36
Pb (0.2500, 0.2500, 0.2500)  4 Th 3.36, 4 Pm 3.36

Output
ΔE_f: -126 kJ/mol of formula units
E_tot: -17.5 eV/cell
volume: 117 Å³ per cell
total magnetization: 0.0 μB per formula unit



3.
Entry from the Alexandria database: a relaxed structure of PmTiHgPb (GGA-PBE).

a b c (Å): 5.2012 5.2012 5.2012
angles (deg): 60.00 60.00 60.00
Closest atoms and distances in Å follow each position.
Element x y z (fractional)
Pm (0.0000, 0.0000, 0.0000)  4 Pb 3.19, 4 Hg 3.19
Ti (0.5000, 0.5000, 0.5000)  4 Hg 3.19, 4 Pb 3.19
Hg (0.2500, 0.2500, 0.2500)  4 Ti 3.19, 4 Pm 3.19
Pb (0.7500, 0.7500, 0.7500)  4 Ti 3.19, 4 Pm 3.19

Output
ΔE_f: -53 kJ/mol of formula units
E_tot: -17.2 eV/cell
volume: 99 Å³ per cell
total magnetization: 2.1 μB per formula unit



4.
Entry from the Alexandria database: a relaxed structure of PmTlHgPb (GGA-PBE).

a b c (Å): 4.6946 4.7575 4.9062
angles (deg): 90.00 90.00 90.00
Closest atoms and distances in Å follow each position.
Element x y z (fractional)
Pm (0.0000, 0.0000, 0.0000)  4 Pb 3.34, 4 Tl 3.40, 4 Hg 3.42
Tl (0.5000, 0.0000, 0.5000)  4 Hg 3.34, 4 Pm 3.40, 4 Pb 3.42
Hg (0.0000, 0.5000, 0.5000)  4 Tl 3.34, 4 Pb 3.40, 4 Pm 3.42
Pb (0.5000, 0.5000, 0.0000)  4 Pm 3.34, 4 Hg 3.40, 4 Tl 3.42

Output
ΔE_f: -141 kJ/mol of formula units
E_tot: -12.6 eV/cell
volume: 110 Å³ per cell
total magnetization: 0.0 μB per formula unit



5.
Entry from the Alexandria database: a relaxed structure of PmTlHgPb (GGA-PBE).

a b c (Å): 5.4477 5.4477 5.4477
angles (deg): 60.00 60.00 60.00
Closest atoms and distances in Å follow each position.
Element x y z (fractional)
Pm (0.0000, 0.0000, 0.0000)  4 Hg 3.34, 4 Tl 3.34
Tl (0.2500, 0.2500, 0.2500)  4 Pb 3.34, 4 Pm 3.34
Hg (0.7500, 0.7500, 0.7500)  4 Pb 3.34, 4 Pm 3.34
Pb (0.5000, 0.5000, 0.5000)  4 Hg 3.34, 4 Tl 3.34

Output
ΔE_f: -89 kJ/mol of formula units
E_tot: -12.0 eV/cell
volume: 114 Å³ per cell
total magnetization: 0.0 μB per formula unit



6.
Entry from the Alexandria database: a relaxed structure of Pm2YHg2Pb2 (GGA-PBE).

a b c (Å): 9.5904 9.5904 9.5904
angles (deg): 30.79 30.79 30.79
Closest atoms and distances in Å follow each position.
Element x y z (fractional)
Pm (0.1301, 0.1301, 0.1301)  3 Hg 3.06
Pm (0.8699, 0.8699, 0.8699)  3 Hg 3.06
Y (0.0000, 0.0000, 0.0000)  6 Pb 3.33, 2 Pm 3.56
Hg (0.4323, 0.4323, 0.4323)  3 Pm 3.06, 3 Pb 3.15
Hg (0.5677, 0.5677, 0.5677)  3 Pm 3.06, 3 Pb 3.15
Pb (0.2759, 0.2759, 0.2759)  3 Hg 3.15, 3 Y 3.33
Pb (0.7241, 0.7241, 0.7241)  3 Hg 3.15, 3 Y 3.33

Output
ΔE_f: -160 kJ/mol of formula units
E_tot: -25.6 eV/cell
volume: 205 Å³ per cell
total magnetization: 0.0 μB per formula unit